First-principles (PBE) data for a geometry-optimized CaMn2H8 structure, as listed in Alexandria.

Lattice parameters (Å, degrees): 4.511 4.507 4.507 119.61 90.00 90.00
Fractional positions:
Ca 0.000 0.000 0.000
Mn 0.500 0.299 0.647
Mn 0.500 0.647 0.299
H 0.246 0.529 0.973
H 0.246 0.973 0.529
H 0.260 0.493 0.493
H 0.500 0.227 0.980
H 0.500 0.980 0.227
H 0.740 0.493 0.493
H 0.754 0.529 0.973
H 0.754 0.973 0.529

Properties
**Energy relative to the lowest polymorph listed for this composition**: 0.000 eV/f.u.


First-principles (PBE) data for a geometry-optimized CaMn2H8 structure, as listed in Alexandria.

Lattice parameters (Å, degrees): 4.809 4.809 3.582 90.22 90.22 115.99
Fractional positions:
Ca 0.000 0.000 0.000
Mn 0.322 0.678 0.500
Mn 0.678 0.322 0.500
H 0.031 0.320 0.503
H 0.300 0.700 0.000
H 0.320 0.031 0.503
H 0.492 0.492 0.261
H 0.508 0.508 0.739
H 0.680 0.969 0.497
H 0.700 0.300 0.000
H 0.969 0.680 0.497

Properties
**Energy relative to the lowest polymorph listed for this composition**: 0.510 eV/f.u.


First-principles (PBE) data for a geometry-optimized Ca3Mn5H12 structure, as listed in Alexandria.

Lattice parameters (Å, degrees): 9.908 9.908 9.908 109.47 109.47 109.47
Fractional positions:
Ca 0.125 0.250 0.375
Ca 0.125 0.375 0.750
Ca 0.250 0.375 0.125
Ca 0.250 0.875 0.625
Ca 0.375 0.125 0.250
Ca 0.375 0.750 0.125
Ca 0.625 0.250 0.875
Ca 0.625 0.875 0.750
Ca 0.750 0.125 0.375
Ca 0.750 0.625 0.875
Ca 0.875 0.625 0.250
Ca 0.875 0.750 0.625
Mn 0.000 0.000 0.000
Mn 0.000 0.000 0.500
Mn 0.000 0.500 0.000
Mn 0.000 0.500 0.500
Mn 0.125 0.750 0.875
Mn 0.125 0.875 0.250
Mn 0.250 0.125 0.875
Mn 0.250 0.625 0.375
Mn 0.375 0.250 0.625
Mn 0.375 0.625 0.750
Mn 0.500 0.000 0.000
Mn 0.500 0.000 0.500
Mn 0.500 0.500 0.000
Mn 0.500 0.500 0.500
Mn 0.625 0.375 0.250
Mn 0.625 0.750 0.375
Mn 0.750 0.375 0.625
Mn 0.750 0.875 0.125
Mn 0.875 0.125 0.750
Mn 0.875 0.250 0.125
H 0.023 0.187 0.108
H 0.023 0.336 0.915
H 0.078 0.687 0.664
H 0.078 0.892 0.415
H 0.085 0.608 0.422
H 0.085 0.977 0.664
H 0.108 0.023 0.187
H 0.108 0.585 0.922
H 0.164 0.187 0.578
H 0.164 0.477 0.585
H 0.187 0.108 0.023
H 0.187 0.578 0.164
H 0.313 0.336 0.922
H 0.313 0.477 0.392
H 0.336 0.915 0.023
H 0.336 0.922 0.313
H 0.392 0.313 0.477
H 0.392 0.578 0.915
H 0.415 0.078 0.892
H 0.415 0.836 0.523
H 0.422 0.085 0.608
H 0.422 0.836 0.813
H 0.477 0.392 0.313
H 0.477 0.585 0.164
H 0.523 0.415 0.836
H 0.523 0.608 0.687
H 0.578 0.164 0.187
H 0.578 0.915 0.392
H 0.585 0.164 0.477
H 0.585 0.922 0.108
H 0.608 0.422 0.085
H 0.608 0.687 0.523
H 0.664 0.078 0.687
H 0.664 0.085 0.977
H 0.687 0.523 0.608
H 0.687 0.664 0.078
H 0.813 0.422 0.836
H 0.813 0.892 0.977
H 0.836 0.523 0.415
H 0.836 0.813 0.422
H 0.892 0.415 0.078
H 0.892 0.977 0.813
H 0.915 0.023 0.336
H 0.915 0.392 0.578
H 0.922 0.108 0.585
H 0.922 0.313 0.336
H 0.977 0.664 0.085
H 0.977 0.813 0.892


First-principles (PBE) data for a geometry-optimized CaMn3H structure, as listed in Alexandria.

Lattice parameters (Å, degrees): 5.393 5.393 5.393 90.00 90.00 90.00
Fractional positions:
Ca 0.000 0.000 0.000
Mn 0.000 0.000 0.500
Mn 0.000 0.500 0.000
Mn 0.500 0.000 0.000
H 0.500 0.500 0.500

Properties
**Energy relative to the lowest polymorph listed for this composition**: 9.118 eV/f.u.


First-principles (PBE) data for a geometry-optimized CaMn3H structure, as listed in Alexandria.

Lattice parameters (Å, degrees): 4.111 4.111 4.111 90.00 90.00 90.00
Fractional positions:
Ca 0.000 0.000 0.000
Mn 0.000 0.500 0.500
Mn 0.500 0.000 0.500
Mn 0.500 0.500 0.000
H 0.500 0.500 0.500

Properties
**Energy relative to the lowest polymorph listed for this composition**: 0.000 eV/f.u.


First-principles (PBE) data for a geometry-optimized CaMn2H structure, as listed in Alexandria.

Lattice parameters (Å, degrees): 6.626 6.626 6.626 90.00 90.00 90.00
Fractional positions:
Ca 0.000 0.000 0.000
Ca 0.000 0.500 0.500
Ca 0.500 0.000 0.500
Ca 0.500 0.500 0.000
Mn 0.250 0.250 0.250
Mn 0.250 0.250 0.750
Mn 0.250 0.750 0.250
Mn 0.250 0.750 0.750
Mn 0.750 0.250 0.250
Mn 0.750 0.250 0.750
Mn 0.750 0.750 0.250
Mn 0.750 0.750 0.750
H 0.000 0.000 0.500
H 0.000 0.500 0.000
H 0.500 0.000 0.000
H 0.500 0.500 0.500

Properties
**Energy relative to the lowest polymorph listed for this composition**: 3.930 eV/f.u.


First-principles (PBE) data for a geometry-optimized Na2CaMnH structure, as listed in Alexandria.

Lattice parameters (Å, degrees): 4.833 4.833 4.875 90.00 90.00 90.00
Fractional positions:
Na 0.000 0.500 0.000
Na 0.500 0.000 0.000
Ca 0.000 0.000 0.500
Mn 0.500 0.500 0.500
H 0.000 0.000 0.000


First-principles (PBE) data for a geometry-optimized Na2CaMnH8 structure, as listed in Alexandria.

Lattice parameters (Å, degrees): 4.800 4.800 6.374 90.00 90.00 120.00
Fractional positions:
Na 0.333 0.667 0.336
Na 0.667 0.333 0.664
Ca 0.000 0.000 0.000
Mn 0.000 0.000 0.500
H 0.155 0.311 0.659
H 0.155 0.845 0.659
H 0.311 0.155 0.341
H 0.333 0.667 0.997
H 0.667 0.333 0.003
H 0.689 0.845 0.659
H 0.845 0.155 0.341
H 0.845 0.689 0.341


First-principles (PBE) data for a geometry-optimized CaMn2NiH structure, as listed in Alexandria.

Lattice parameters (Å, degrees): 4.832 4.832 3.602 90.00 90.00 90.00
Fractional positions:
Ca 0.000 0.000 0.000
Mn 0.000 0.500 0.500
Mn 0.500 0.000 0.500
Ni 0.500 0.500 0.500
H 0.500 0.500 0.000


Total energy readings, ordered: -4.45, -4.40, -4.71, -4.31, -6.13, -4.71, -3.14, -3.45, -5.27 eV per atom